A plane-wave DFT calculation with PBE-GGA was carried out for an optimized crystal structure of Pa2NbSb.

The value obtained for the uncorrected formation energy is 0.13 eV/atom. For the energy above the most stable polymorph in this dataset, the calculation gives 339 meV per atom.

The structure belongs to space group Fm-3m (No. 225); the cell edges are 7.296, 7.296 and 7.296 Å and the angles 90.00°, 90.00° and 90.00°. The inequivalent atoms are Pa at (0.250, 0.250, 0.250), Nb at (0.000, 0.000, 0.000) and Sb at (0.000, 0.000, 0.500).

***

A plane-wave DFT calculation with PBE-GGA was carried out for an optimized crystal structure of KCdInBrO.

The value obtained for the uncorrected formation energy is -0.83 eV/atom. For the energy above the most stable polymorph in this dataset, the calculation gives 128 meV per atom.

The structure belongs to space group Amm2 (No. 38); the cell edges are 3.841, 4.055 and 17.789 Å and the angles 90.00°, 90.00° and 90.00°. The inequivalent atoms are K at (0.000, 0.000, 0.000), Cd at (0.000, 0.000, 0.272), In at (0.500, 0.000, 0.650), Br at (0.500, 0.000, 0.397) and O at (0.000, 0.000, 0.727).

***

A plane-wave DFT calculation with PBE-GGA was carried out for an optimized crystal structure of Ba2TmAgO4.

The value obtained for the uncorrected formation energy is -2.25 eV/atom.

The structure belongs to space group I-4 (No. 82); the cell edges are 5.670, 5.670 and 10.854 Å and the angles 90.00°, 90.00° and 90.00°. The inequivalent atoms are Ba at (0.000, 0.000, 0.000), Ba at (0.000, 0.500, 0.250), Tm at (0.000, 0.000, 0.500), Ag at (0.000, 0.500, 0.750) and O at (0.207, 0.775, 0.613).

***

A plane-wave DFT calculation with PBE-GGA was carried out for an optimized crystal structure of Sc6In2N.

The value obtained for the uncorrected formation energy is -0.73 eV/atom.

The structure belongs to space group Fm-3m (No. 225); the cell edges are 9.031, 9.031 and 9.031 Å and the angles 90.00°, 90.00° and 90.00°. The inequivalent atoms are Sc at (0.000, 0.000, 0.244), In at (0.250, 0.250, 0.250) and N at (0.000, 0.000, 0.000).

***

A plane-wave DFT calculation with PBE-GGA was carried out for an optimized crystal structure of Y2TmPaRu2.

Its formation energy is -0.31 eV per atom.

The structure belongs to space group Ibam (No. 72); the cell edges are 6.732, 13.701 and 6.695 Å and the angles 90.00°, 90.00° and 90.00°. The inequivalent atoms are Y at (0.214, 0.193, 0.000), Tm at (0.000, 0.500, 0.250), Pa at (0.000, 0.000, 0.250) and Ru at (0.208, 0.103, 0.500).

***

A plane-wave DFT calculation with PBE-GGA was carried out for an optimized crystal structure of Ac2SiAg.

The value obtained for the uncorrected formation energy is -0.39 eV/atom.

The structure belongs to space group P2_1/m (No. 11); the cell edges are 6.451, 4.582 and 8.881 Å and the angles 90.00°, 110.82° and 90.00°. The inequivalent atoms are Ac at (0.209, 0.250, 0.434), Ac at (0.286, 0.750, 0.079), Si at (0.129, 0.250, 0.792) and Ag at (0.344, 0.750, 0.723).

***

A plane-wave DFT calculation with PBE-GGA was carried out for an optimized crystal structure of Li2NpI6.

The value obtained for the uncorrected formation energy is -0.90 eV/atom. For the energy above the most stable polymorph in this dataset, the calculation gives 46 meV per atom.

The structure belongs to space group C2/c (No. 15); the cell edges are 15.445, 14.958 and 7.707 Å and the angles 90.00°, 104.80° and 90.00°. The inequivalent atoms are Li at (0.066, 0.076, 0.128), Np at (0.000, 0.419, 0.250), I at (0.114, 0.434, 0.634), I at (0.117, 0.077, 0.494) and I at (0.117, 0.286, 0.155).

***

A plane-wave DFT calculation with PBE-GGA was carried out for an optimized crystal structure of ThSc4.

Its formation energy is 0.04 eV per atom. For the energy above the most stable polymorph in this dataset, the calculation gives 5 meV per atom.

The structure belongs to space group I4/m (No. 87); the cell edges are 7.371, 7.371 and 4.781 Å and the angles 90.00°, 90.00° and 90.00°. The inequivalent atoms are Th at (0.000, 0.000, 0.000) and Sc at (0.099, 0.703, 0.500).

***

A plane-wave DFT calculation with PBE-GGA was carried out for an optimized crystal structure of Mg2CoTe.

The value obtained for the uncorrected formation energy is 0.00 eV/atom.

The structure belongs to space group P2/m (No. 10); the cell edges are 3.631, 3.651 and 5.796 Å and the angles 90.00°, 90.02° and 90.00°. The inequivalent atoms are Mg at (0.002, 0.000, 0.270), Co at (0.500, 0.500, 0.500) and Te at (0.500, 0.500, 0.000).

***

A plane-wave DFT calculation with PBE-GGA was carried out for an optimized crystal structure of Co4HgRh.

Its formation energy is 0.23 eV per atom.

The structure belongs to space group F-43m (No. 216); the cell edges are 6.817, 6.817 and 6.817 Å and the angles 90.00°, 90.00° and 90.00°. The inequivalent atoms are Co at (0.125, 0.125, 0.125), Hg at (0.000, 0.000, 0.500) and Rh at (0.250, 0.250, 0.750).

***

A plane-wave DFT calculation with PBE-GGA was carried out for an optimized crystal structure of BaCeZn2Au5.

Its formation energy is -0.42 eV per atom.

The structure belongs to space group P4/mmm (No. 123); the cell edges are 4.757, 4.757 and 9.212 Å and the angles 90.00°, 90.00° and 90.00°. The inequivalent atoms are Ba at (0.000, 0.000, 0.000), Ce at (0.000, 0.000, 0.500), Zn at (0.500, 0.500, 0.366), Au at (0.000, 0.500, 0.258) and Au at (0.500, 0.500, 0.000).

***

A plane-wave DFT calculation with PBE-GGA was carried out for an optimized crystal structure of TbYTmMg.

Its formation energy is -0.03 eV per atom. For the energy above the most stable polymorph in this dataset, the calculation gives 0 meV per atom.

The structure belongs to space group P4mm (No. 99); the cell edges are 3.576, 3.576 and 9.233 Å and the angles 90.00°, 90.00° and 90.00°. The inequivalent atoms are Tb at (0.000, 0.000, 0.000), Y at (0.000, 0.000, 0.475), Tm at (0.500, 0.500, 0.739) and Mg at (0.500, 0.500, 0.238).